[1]
Density functional theory data (GGA-PBEsol) for a relaxed NbTlCd3 crystal.

Properties
* DOS at the Fermi energy: 5.9 states/eV/cell
* energy relative to the elements: 1.3568 eV per atom
* uncorrected energy: -2.0518 eV/atom
* total moment: 3.8 μB per formula unit

Lattice parameters (Å, degrees): 5.2864 5.2864 5.2864 90.00 90.00 90.00
With the nearest neighbours (Å) after each atom.
Fractional coordinates of all 5 atoms:
Nb: 0.5000 0.5000 0.5000  12 Cd 3.74
Cd: 0.0000 0.5000 0.0000  2 Tl 2.64
Cd: 0.0000 0.0000 0.5000  2 Tl 2.64
Cd: 0.5000 0.0000 0.0000  2 Tl 2.64
Tl: 0.0000 0.0000 0.0000  6 Cd 2.64

[2]
Density functional theory data (GGA-PBEsol) for a relaxed NbTl3Cd crystal.

Properties
* DOS at the Fermi energy: 7.7 states/eV/cell
* energy relative to the elements: 1.2391 eV per atom
* uncorrected energy: -2.7427 eV/atom
* total moment: 3.7 μB per formula unit

Lattice parameters (Å, degrees): 5.3860 5.3860 5.3860 90.00 90.00 90.00
With the nearest neighbours (Å) after each atom.
Fractional coordinates of all 5 atoms:
Nb: 0.5000 0.5000 0.5000  12 Tl 3.81
Tl: 0.0000 0.5000 0.0000  2 Cd 2.69
Tl: 0.5000 0.0000 0.0000  2 Cd 2.69
Tl: 0.0000 0.0000 0.5000  2 Cd 2.69
Cd: 0.0000 0.0000 0.0000  6 Tl 2.69

> Which value of energy relative to the elements does entry 1 give?

1.3568 eV per atom